Record 1
Compound: NaCrBr2
Source: Alexandria
Functional: PBE
Structure: optimized geometry

The calculation puts the energy above the lowest structure with this stoichiometry at 0 meV/atom. For the density of states at the Fermi level, the calculation gives 3.2 states/eV/cell. Its uncorrected formation energy is -663 meV/atom. As for the crystal system: tetragonal. Its space-group type is No. 122. As for the total magnetization: 1.25 μB per atom. The mass density is 3.012 Mg/m³.

Lattice parameters (Å, degrees): 7.998 7.998 7.998 134.18 134.18 66.81
Fractional coordinates of all 8 atoms:
Na  0.000  0.000  0.000
Na  0.750  0.250  0.500
Cr  0.250  0.750  0.500
Cr  0.500  0.500  0.000
Br  0.155  0.625  0.030
Br  0.375  0.405  0.530
Br  0.595  0.125  0.970
Br  0.875  0.845  0.470



Record 2
Compound: MnSnAu6
Source: Alexandria
Functional: PBE
Structure: optimized geometry

The calculation puts the energy above the lowest structure with this stoichiometry at 31 meV/atom. For the density of states at the Fermi level, the calculation gives 3.0 states/eV/cell. The value obtained for the formation energy is -28 meV per atom. As for the crystal system: tetragonal. Its space-group type is No. 123. As for the total magnetization: 0.55 μB per atom. The mass density is 15.186 Mg/m³.

Lattice parameters (Å, degrees): 4.161 4.161 8.559 90.00 90.00 90.00
Fractional coordinates of all 8 atoms:
Mn  0.000  0.000  0.000
Sn  0.000  0.000  0.500
Au  0.000  0.500  0.234
Au  0.000  0.500  0.766
Au  0.500  0.000  0.234
Au  0.500  0.000  0.766
Au  0.500  0.500  0.000
Au  0.500  0.500  0.500



Record 3
Compound: NaLaPrGd
Source: Alexandria
Functional: PBE
Structure: optimized geometry

For the density of states at the Fermi level, the calculation gives 6.8 states/eV/cell. The value obtained for the formation energy is 245 meV per atom. As for the crystal system: cubic. Its space-group type is No. 216. As for the total magnetization: 1.92 μB per atom. The mass density is 5.498 Mg/m³.

Lattice parameters (Å, degrees): 5.814 5.814 5.814 60.00 60.00 60.00
Fractional coordinates of all 4 atoms:
Na  0.000  0.000  0.000
La  0.250  0.250  0.250
Pr  0.750  0.750  0.750
Gd  0.500  0.500  0.500



Record 4
Compound: AlPb2Cl8
Source: Alexandria
Functional: PBE
Structure: optimized geometry

For the density of states at the Fermi level, the calculation gives 6.7 states/eV/cell. Its uncorrected formation energy is -957 meV/atom. As for the crystal system: monoclinic. Its space-group type is No. 12. As for the total magnetization: 0.00 μB per atom. The mass density is 2.610 Mg/m³.

Lattice parameters (Å, degrees): 8.046 8.046 9.908 99.62 99.62 47.00
Fractional coordinates of all 11 atoms:
Al  0.000  0.000  0.000
Pb  0.211  0.211  0.329
Pb  0.789  0.789  0.671
Cl  0.169  0.677  0.873
Cl  0.264  0.264  0.608
Cl  0.323  0.831  0.127
Cl  0.358  0.358  0.236
Cl  0.642  0.642  0.764
Cl  0.677  0.169  0.873
Cl  0.736  0.736  0.392
Cl  0.831  0.323  0.127



Record 5
Compound: AcZnCuRh
Source: Alexandria
Functional: PBE
Structure: optimized geometry

For the density of states at the Fermi level, the calculation gives 1.9 states/eV/cell. The value obtained for the formation energy is -434 meV per atom. As for the crystal system: monoclinic. Its space-group type is No. 8. As for the total magnetization: 0.00 μB per atom. The mass density is 8.976 Mg/m³.

Lattice parameters (Å, degrees): 4.362 4.362 5.737 112.43 112.43 60.05
Fractional coordinates of all 4 atoms:
Ac  0.000  0.000  0.000
Zn  0.506  0.506  0.519
Cu  0.803  0.803  0.411
Rh  0.204  0.204  0.615



Record 6
Compound: SmDy3Cl
Source: Alexandria
Functional: PBE
Structure: optimized geometry

For the density of states at the Fermi level, the calculation gives 4.9 states/eV/cell. Its uncorrected formation energy is -452 meV/atom. As for the crystal system: cubic. Its space-group type is No. 221. As for the total magnetization: 0.00 μB per atom. The mass density is 7.518 Mg/m³.

Lattice parameters (Å, degrees): 5.298 5.298 5.298 90.00 90.00 90.00
Fractional coordinates of all 5 atoms:
Sm  0.000  0.000  0.000
Dy  0.000  0.500  0.500
Dy  0.500  0.000  0.500
Dy  0.500  0.500  0.000
Cl  0.500  0.500  0.500



Record 7
Compound: LiYZr
Source: Alexandria
Functional: PBE
Structure: optimized geometry

The calculation puts the energy above the lowest structure with this stoichiometry at 37 meV/atom. For the density of states at the Fermi level, the calculation gives 4.2 states/eV/cell. The value obtained for the formation energy is 105 meV per atom. As for the crystal system: monoclinic. Its space-group type is No. 11. As for the total magnetization: 0.00 μB per atom. The mass density is 4.222 Mg/m³.

Lattice parameters (Å, degrees): 5.240 3.363 8.572 90.00 103.07 90.00
Fractional coordinates of all 6 atoms:
Li  0.110  0.250  0.128
Li  0.890  0.750  0.872
Y  0.359  0.250  0.792
Y  0.641  0.750  0.208
Zr  0.235  0.750  0.455
Zr  0.765  0.250  0.545



Record 8
Compound: RbCaSc2
Source: Alexandria
Functional: PBE
Structure: optimized geometry

The calculation puts the energy above the lowest structure with this stoichiometry at 374 meV/atom. For the density of states at the Fermi level, the calculation gives 12.3 states/eV/cell. The value obtained for the formation energy is 914 meV per atom. As for the crystal system: tetragonal. Its space-group type is No. 122. As for the total magnetization: 0.22 μB per atom. The mass density is 2.541 Mg/m³.

Lattice parameters (Å, degrees): 7.324 7.324 7.324 101.61 101.61 126.70
Fractional coordinates of all 8 atoms:
Rb  0.000  0.000  0.000
Rb  0.750  0.250  0.500
Ca  0.250  0.750  0.500
Ca  0.500  0.500  0.000
Sc  0.121  0.625  0.996
Sc  0.375  0.371  0.496
Sc  0.629  0.125  0.004
Sc  0.875  0.879  0.504



Record 9
Compound: Pa2HgIr
Source: Alexandria
Functional: PBE
Structure: optimized geometry

The calculation puts the energy above the lowest structure with this stoichiometry at 337 meV/atom. For the density of states at the Fermi level, the calculation gives 5.5 states/eV/cell. The value obtained for the formation energy is 52 meV per atom. As for the crystal system: trigonal. Its space-group type is No. 166. As for the total magnetization: 0.00 μB per atom. The mass density is 12.725 Mg/m³.

Lattice parameters (Å, degrees): 10.505 10.505 10.505 19.38 19.38 19.38
Fractional coordinates of all 4 atoms:
Pa  0.106  0.106  0.106
Pa  0.894  0.894  0.894
Hg  0.000  0.000  0.000
Ir  0.500  0.500  0.500



Record 10
Compound: HfGa2Pd8
Source: Alexandria
Functional: PBE
Structure: optimized geometry

For the density of states at the Fermi level, the calculation gives 4.3 states/eV/cell. The value obtained for the formation energy is -604 meV per atom. As for the crystal system: monoclinic. Its space-group type is No. 12. As for the total magnetization: 0.00 μB per atom. The mass density is 11.298 Mg/m³.

Lattice parameters (Å, degrees): 7.271 7.271 6.463 111.45 111.45 32.96
Fractional coordinates of all 11 atoms:
Hf  0.000  0.000  0.000
Ga  0.288  0.288  0.339
Ga  0.712  0.712  0.661
Pd  0.107  0.107  0.465
Pd  0.178  0.178  0.930
Pd  0.347  0.347  0.783
Pd  0.462  0.462  0.269
Pd  0.538  0.538  0.731
Pd  0.653  0.653  0.217
Pd  0.822  0.822  0.070
Pd  0.893  0.893  0.535



Record 11
Compound: MgBeMoHW
Source: Alexandria
Functional: PBE
Structure: optimized geometry

The calculation puts the energy above the lowest structure with this stoichiometry at 167 meV/atom. For the density of states at the Fermi level, the calculation gives 2.2 states/eV/cell. As for the crystal system: monoclinic. Its space-group type is No. 6. As for the total magnetization: 0.00 μB per atom. The mass density is 8.325 Mg/m³.

Lattice parameters (Å, degrees): 2.722 4.261 5.508 90.00 101.24 90.00
Fractional coordinates of all 5 atoms:
Mg  0.000  0.000  0.000
Be  0.017  0.000  0.496
Mo  0.451  0.500  0.727
H  0.989  0.500  0.014
W  0.556  0.500  0.283



Record 12
Compound: LaNd3Th
Source: Alexandria
Functional: PBE
Structure: optimized geometry

For the density of states at the Fermi level, the calculation gives 13.7 states/eV/cell. The value obtained for the formation energy is 162 meV per atom. As for the crystal system: orthorhombic. Its space-group type is No. 65. As for the total magnetization: 0.00 μB per atom. The mass density is 7.460 Mg/m³.

Lattice parameters (Å, degrees): 6.383 6.383 11.228 90.00 90.00 128.54
Fractional coordinates of all 10 atoms:
La  0.160  0.840  0.000
La  0.840  0.160  0.000
Nd  0.151  0.849  0.310
Nd  0.151  0.849  0.690
Nd  0.500  0.500  0.174
Nd  0.500  0.500  0.826
Nd  0.849  0.151  0.310
Nd  0.849  0.151  0.690
Th  0.364  0.636  0.500
Th  0.636  0.364  0.500



Please write out number 2 again, unchanged.
Compound: MnSnAu6
Source: Alexandria
Functional: PBE
Structure: optimized geometry

The calculation puts the energy above the lowest structure with this stoichiometry at 31 meV/atom. For the density of states at the Fermi level, the calculation gives 3.0 states/eV/cell. The value obtained for the formation energy is -28 meV per atom. As for the crystal system: tetragonal. Its space-group type is No. 123. As for the total magnetization: 0.55 μB per atom. The mass density is 15.186 Mg/m³.

Lattice parameters (Å, degrees): 4.161 4.161 8.559 90.00 90.00 90.00
Fractional coordinates of all 8 atoms:
Mn  0.000  0.000  0.000
Sn  0.000  0.000  0.500
Au  0.000  0.500  0.234
Au  0.000  0.500  0.766
Au  0.500  0.000  0.234
Au  0.500  0.000  0.766
Au  0.500  0.500  0.000
Au  0.500  0.500  0.500